The following is a PBE-GGA calculation of Mn2TlCl5 after structural relaxation, from the Alexandria database.

Uncorrected energy = -4.778 eV/atom
Raw formation energy = -1035 meV per atom

Lattice parameters (Å, degrees): 5.3295 6.5353 12.8348 90.00 90.00 114.06
Fractional positions:
Cl 0.0498 0.0995 0.1167
Cl 0.6672 0.3344 0.5348
Cl 0.3328 0.6656 0.0348
Tl 0.5231 0.0462 0.2500
Mn 0.1471 0.2943 0.9421
Mn 0.1471 0.2943 0.5579
Cl 0.2104 0.4209 0.7500
Cl 0.9502 0.9005 0.8833
Cl 0.3328 0.6656 0.4652
Cl 0.7896 0.5791 0.2500
Cl 0.6672 0.3344 0.9652
Mn 0.8529 0.7057 0.4421
Cl 0.0498 0.0995 0.3833
Tl 0.4769 0.9538 0.7500
Mn 0.8529 0.7057 0.0579
Cl 0.9502 0.9005 0.6167

***

The following is a PBE-GGA calculation of PmReN6 after structural relaxation, from the Alexandria database.

Uncorrected energy = -7.805 eV/atom
Raw formation energy = 589 meV per atom

Lattice parameters (Å, degrees): 4.7843 4.7843 4.7843 105.41 105.41 105.41
Fractional positions:
N 0.1185 0.1185 0.5683
N 0.8815 0.8815 0.4317
N 0.4317 0.8815 0.8815
Pm 0.0000 0.0000 0.0000
N 0.1185 0.5683 0.1185
N 0.5683 0.1185 0.1185
N 0.8815 0.4317 0.8815
Re 0.5000 0.5000 0.5000

***

The following is a PBE-GGA calculation of Sm6Er3Tm2Sc after structural relaxation, from the Alexandria database.

Uncorrected energy = -4.747 eV/atom
Calculated formation energy = 26 meV per atom

Lattice parameters (Å, degrees): 6.1560 6.1560 11.6315 95.05 95.05 119.98
Fractional positions:
Er 0.8334 0.1666 0.5000
Tm 0.3333 0.6667 0.0000
Sm 0.5868 0.9179 0.7528
Sc 0.0000 0.0000 0.0000
Er 0.1666 0.8334 0.5000
Sm 0.9179 0.5868 0.7528
Tm 0.6667 0.3333 0.0000
Sm 0.4132 0.0821 0.2472
Sm 0.2490 0.2490 0.7528
Sm 0.0821 0.4132 0.2472
Sm 0.7510 0.7510 0.2472
Er 0.5000 0.5000 0.5000

***

The following is a PBE-GGA calculation of La3Y3Tm8 after structural relaxation, from the Alexandria database.

Uncorrected energy = -4.887 eV/atom
Calculated formation energy = 109 meV per atom

Lattice parameters (Å, degrees): 5.6399 9.7044 9.7044 102.20 73.10 73.10
Fractional positions:
Tm 0.8425 0.7593 0.5558
Tm 0.1575 0.4442 0.2407
Tm 0.1575 0.2407 0.4442
Y 0.2014 0.7983 0.7983
Y 0.5000 0.5000 0.5000
Y 0.7986 0.2017 0.2017
La 0.5000 0.0000 0.0000
Tm 0.6620 0.5578 0.1182
Tm 0.6620 0.1182 0.5578
Tm 0.3380 0.4422 0.8818
Tm 0.8425 0.5558 0.7593
Tm 0.3380 0.8818 0.4422
La 0.0000 0.1878 0.8122
La 0.0000 0.8122 0.1878

***

The following is a PBE-GGA calculation of BaGa6 after structural relaxation, from the Alexandria database.

Uncorrected energy = -3.056 eV/atom
Calculated formation energy = -187 meV per atom

Lattice parameters (Å, degrees): 6.1766 6.1766 6.1766 109.47 109.47 109.47
Fractional positions:
Ga 0.5000 0.2500 0.7500
Ga 0.7500 0.2500 0.5000
Ga 0.2500 0.5000 0.7500
Ga 0.5000 0.7500 0.2500
Ga 0.2500 0.7500 0.5000
Ba 0.0000 0.0000 0.0000
Ga 0.7500 0.5000 0.2500

***

The following is a PBE-GGA calculation of AlZn2Cl after structural relaxation, from the Alexandria database.

Uncorrected energy = -2.057 eV/atom
Excess energy over the best structure of this formula in the dataset = 122.4 meV/atom
Raw formation energy = -22 meV per atom

Lattice parameters (Å, degrees): 5.5298 2.9312 5.4757 59.73 90.00 90.00
Fractional positions:
Zn 0.0000 0.2295 0.0032
Zn 0.0000 0.2705 0.4968
Al 0.5000 0.2500 0.2500
Cl 0.5000 0.7500 0.7500

***

> Which of these has the highest uncorrected energy?

AlZn2Cl

***

> Look up the uncorrected energy of the fifth one.

-3.056 eV/atom

***

> Look up the uncorrected energy of the first one.

-4.778 eV/atom

***

Copy entry 6 word for word.
The following is a PBE-GGA calculation of AlZn2Cl after structural relaxation, from the Alexandria database.

Uncorrected energy = -2.057 eV/atom
Excess energy over the best structure of this formula in the dataset = 122.4 meV/atom
Raw formation energy = -22 meV per atom

Lattice parameters (Å, degrees): 5.5298 2.9312 5.4757 59.73 90.00 90.00
Fractional positions:
Zn 0.0000 0.2295 0.0032
Zn 0.0000 0.2705 0.4968
Al 0.5000 0.2500 0.2500
Cl 0.5000 0.7500 0.7500